1.
AcAgP: optimized geometry, PBE-GGA.

```
AcAgP
1.0
11.3797 0.0000 0.0000
0.0000 4.5027 0.0000
-0.5489 0.0000 6.2336
Ac Ag P
4 4 4
Cartesian
1.4391 0.0000 1.5493
3.7019 2.2513 4.6843
7.1289 2.2513 1.5493
9.3918 0.0000 4.6843
0.4300 2.2513 5.2390
4.7110 0.0000 0.9946
6.1199 0.0000 5.2390
10.4008 2.2513 0.9946
1.5102 0.0000 4.6106
3.6308 2.2513 1.6230
7.2001 2.2513 4.6106
9.3206 0.0000 1.6230
```

Computed properties:
Its total energy is -4.9162 eV/atom. For the total magnetic moment, the calculation gives 0.000 μB per atom. For the formation energy from the elements, the calculation gives -18.29 kcal/mol of atoms. The calculation puts the energy above the most stable polymorph in this dataset at 0 kJ/mol of formula units.

***

2.
AcAgP: optimized geometry, PBE-GGA.

```
AcAgP
1.0
6.9174 0.0000 0.0000
0.0000 6.9174 0.0000
0.0000 0.0000 6.9174
Ac Ag P
4 4 4
Cartesian
0.0000 0.0000 0.0000
0.0000 3.4587 3.4587
3.4587 0.0000 3.4587
3.4587 3.4587 0.0000
0.0000 0.0000 3.4587
0.0000 3.4587 0.0000
3.4587 0.0000 0.0000
3.4587 3.4587 3.4587
1.7293 1.7293 5.1880
1.7293 5.1880 1.7293
5.1880 1.7293 1.7293
5.1880 5.1880 5.1880
```

Computed properties:
Its total energy is -4.6381 eV/atom. For the total magnetic moment, the calculation gives 0.000 μB per atom. For the formation energy from the elements, the calculation gives -11.88 kcal/mol of atoms. The calculation puts the energy above the most stable polymorph in this dataset at 80 kJ/mol of formula units.

***

3.
AcAg4P: optimized geometry, PBE-GGA.

```
AcAg4P
1.0
0.0000 4.0195 4.0195
4.0195 0.0000 4.0195
4.0195 4.0195 0.0000
Ac Ag P
1 4 1
Cartesian
0.0000 0.0000 0.0000
5.0181 3.0210 3.0210
3.0210 5.0181 3.0210
3.0210 3.0210 5.0181
5.0181 5.0181 5.0181
2.0098 2.0098 2.0098
```

Computed properties:
Its total energy is -3.5944 eV/atom. For the total magnetic moment, the calculation gives 0.000 μB per atom. For the formation energy from the elements, the calculation gives -2.47 kcal/mol of atoms.

***

4.
Ac2Ag2P3: optimized geometry, PBE-GGA.

```
Ac2Ag2P3
1.0
7.9846 -2.1815 0.0000
7.9846 2.1815 0.0000
-7.2396 0.0000 9.8003
Ac Ag P
4 4 6
Cartesian
-1.4835 0.0000 4.3105
-2.2864 0.0000 8.1975
11.0161 0.0000 1.6027
10.2132 0.0000 5.4897
0.3305 0.0000 1.4758
6.0248 0.0000 1.6817
2.7049 0.0000 8.1185
8.3992 0.0000 8.3245
-5.0453 0.0000 9.4790
0.4384 0.0000 6.7134
4.0675 0.0000 3.8106
4.6621 0.0000 5.9897
8.2912 0.0000 3.0868
13.7749 0.0000 0.3213
```

Computed properties:
Its total energy is -5.1267 eV/atom. For the total magnetic moment, the calculation gives 0.000 μB per atom. For the formation energy from the elements, the calculation gives -18.90 kcal/mol of atoms.

***

- Which formula does entry 4 have?
  Ac2Ag2P3

***

Copy entry 4 word for word.
Ac2Ag2P3: optimized geometry, PBE-GGA.

```
Ac2Ag2P3
1.0
7.9846 -2.1815 0.0000
7.9846 2.1815 0.0000
-7.2396 0.0000 9.8003
Ac Ag P
4 4 6
Cartesian
-1.4835 0.0000 4.3105
-2.2864 0.0000 8.1975
11.0161 0.0000 1.6027
10.2132 0.0000 5.4897
0.3305 0.0000 1.4758
6.0248 0.0000 1.6817
2.7049 0.0000 8.1185
8.3992 0.0000 8.3245
-5.0453 0.0000 9.4790
0.4384 0.0000 6.7134
4.0675 0.0000 3.8106
4.6621 0.0000 5.9897
8.2912 0.0000 3.0868
13.7749 0.0000 0.3213
```

Computed properties:
Its total energy is -5.1267 eV/atom. For the total magnetic moment, the calculation gives 0.000 μB per atom. For the formation energy from the elements, the calculation gives -18.90 kcal/mol of atoms.